1.
Material: MgNbSe2
Method: DFT, PBE
State: relaxed

It has space group R-3m (No. 166, hexagonal axes), with a = 3.4443 Å, b = 3.4443 Å, c = 26.9276 Å, α = 90.00°, β = 90.00° and γ = 120.00°. Symmetry generates all atoms from Mg at (0.0000, 0.0000, 0.0000), Nb at (0.0000, 0.0000, 0.5000) and Se at (0.0000, 0.0000, 0.1030).

The value obtained for the raw total energy is -63.1 eV/cell.

2.
Material: PaOs2Pd
Method: DFT, PBE
State: relaxed

It has space group P4/mmm (No. 123), with a = 4.128 Å, b = 4.128 Å, c = 4.013 Å, α = 90.00°, β = 90.00° and γ = 90.00°. Symmetry generates all atoms from Pa at (0.000, 0.000, 0.000), Os at (0.000, 0.500, 0.500) and Pd at (0.500, 0.500, 0.000).

The energy of formation is -320.9 meV per atom.

3.
Material: NaReS2
Method: DFT, PBE
State: relaxed

It has space group I-42d (No. 122), with a = 5.973 Å, b = 5.973 Å, c = 10.694 Å, α = 90.00°, β = 90.00° and γ = 90.00°. Symmetry generates all atoms from Na at (0.000, 0.000, 0.000), Re at (0.000, 0.000, 0.500) and S at (0.173, 0.250, 0.625).

The value obtained for the raw total energy is -93.6 eV/cell.

4.
Material: Rb2CaHCl6
Method: DFT, PBE
State: relaxed

It has space group I4/mmm (No. 139), with a = 8.110 Å, b = 8.110 Å, c = 9.094 Å, α = 90.00°, β = 90.00° and γ = 90.00°. Symmetry generates all atoms from Rb at (0.000, 0.500, 0.250), Ca at (0.000, 0.000, 0.000), H at (0.000, 0.000, 0.500), Cl at (0.000, 0.000, 0.327) and Cl at (0.231, 0.231, 0.000).

The value obtained for the raw total energy is -65.7 eV/cell.

5.
Material: P2S2N
Method: DFT, PBE
State: relaxed

It has space group P4/mmm (No. 123), with a = 4.429 Å, b = 4.429 Å, c = 4.719 Å, α = 90.00°, β = 90.00° and γ = 90.00°. Symmetry generates all atoms from P at (0.000, 0.000, 0.000), P at (0.000, 0.000, 0.500), S at (0.000, 0.500, 0.000) and N at (0.500, 0.500, 0.500).

The value obtained for the raw total energy is -18.8 eV/cell.

6.
Material: PmPr2HfN4
Method: DFT, PBE
State: relaxed

It has space group P2/m (No. 10), with a = 6.119 Å, b = 3.510 Å, c = 6.153 Å, α = 90.00°, β = 108.99° and γ = 90.00°. Symmetry generates all atoms from Pm at (0.000, 0.000, 0.000), Pr at (0.000, 0.500, 0.500), Pr at (0.500, 0.000, 0.500), Hf at (0.500, 0.500, 0.000), N at (0.266, 0.500, 0.227) and N at (0.278, 0.000, 0.781).

The value obtained for the raw total energy is -69.1 eV/cell.

7.
Material: Pm3Y4Sc
Method: DFT, PBE
State: relaxed

It has space group Pmn2_1 (No. 31), with a = 11.342 Å, b = 7.285 Å, c = 6.272 Å, α = 90.00°, β = 90.00° and γ = 90.00°. Symmetry generates all atoms from Pm at (0.000, 0.124, 0.000), Pm at (0.250, 0.122, 0.328), Y at (0.000, 0.372, 0.500), Y at (0.000, 0.625, 0.994), Y at (0.245, 0.626, 0.337) and Sc at (0.000, 0.872, 0.497).

The energy of formation is 25.6 meV per atom.

8.
Material: PdC3Br
Method: DFT, PBE
State: relaxed

It has space group Pm-3m (No. 221), with a = 3.919 Å, b = 3.919 Å, c = 3.919 Å, α = 90.00°, β = 90.00° and γ = 90.00°. Symmetry generates all atoms from Pd at (0.000, 0.000, 0.000), C at (0.000, 0.500, 0.500) and Br at (0.500, 0.500, 0.500).

The value obtained for the raw total energy is -17.1 eV/cell.

Please write out number 1 again, unchanged.
Material: MgNbSe2
Method: DFT, PBE
State: relaxed

It has space group R-3m (No. 166, hexagonal axes), with a = 3.4443 Å, b = 3.4443 Å, c = 26.9276 Å, α = 90.00°, β = 90.00° and γ = 120.00°. Symmetry generates all atoms from Mg at (0.0000, 0.0000, 0.0000), Nb at (0.0000, 0.0000, 0.5000) and Se at (0.0000, 0.0000, 0.1030).

The value obtained for the raw total energy is -63.1 eV/cell.